Record 1
## Pm4SnAu2 (PBE)

Data for crystalline Pm4SnAu2 at its relaxed geometry.

Results
Calculated volume (A^3/atom): 28.881
Calculated formation energy (eV per atom): -0.626

a b c (Å): 8.0745 8.0745 8.0745
angles (deg): 107.92 112.61 107.92
Positions (direct):
Pm  0.2606  0.2587  0.8718
Pm  0.9980  0.6112  0.7394
Pm  0.1368  0.8888  0.3782
Pm  0.7520  0.2413  0.8632
Au  0.8750  0.1275  0.5025
Pm  0.6218  0.7587  0.5106
Sn  0.0000  0.0000  0.0000
Au  0.3750  0.8725  0.7475
Pm  0.1282  0.3888  0.3868
Sn  0.7500  0.5000  0.2500
Au  0.4975  0.3725  0.6250
Au  0.2525  0.6275  0.1250
Pm  0.6132  0.7413  0.0020
Pm  0.4894  0.1112  0.2480

Record 2
## CrCoRe2 (PBE)

Data for crystalline CrCoRe2 at its relaxed geometry.

Results
Calculated volume (A^3/atom): 14.718
Excess energy over the best structure of this formula in the dataset (eV per atom): 0.7541
Calculated formation energy (eV per atom): 0.801

a b c (Å): 3.6289 3.6289 9.3018
angles (deg): 78.75 78.75 90.00
Site moments in Bohr magnetons follow the coordinates.
Positions (direct):
Cr  0.2500  0.7500  0.5000  2.27
Cr  0.5000  0.5000  0.0000  2.27
Re  0.8750  0.8751  0.7500  -0.04
Re  0.3750  0.3749  0.7500  -0.04
Co  0.7500  0.2500  0.5000  -0.17
Re  0.1249  0.6250  0.2500  -0.03
Co  0.0000  0.0000  0.0000  -0.16
Re  0.6251  0.1250  0.2500  -0.03

Record 3
## YMnFe (PBE)

Data for crystalline YMnFe at its relaxed geometry.

Results
Calculated volume (A^3/atom): 18.285
Excess energy over the best structure of this formula in the dataset (eV per atom): 0.1449
Calculated formation energy (eV per atom): 0.200

a b c (Å): 4.1059 4.1059 3.7572
angles (deg): 90.00 90.00 120.00
Site moments in Bohr magnetons follow the coordinates.
Positions (direct):
Fe  0.0000  0.0000  0.1667  1.67
Y  0.3333  0.6667  0.6666  -0.20
Mn  0.6667  0.3333  0.1668  2.70

Record 4
## Cu2PbSe (PBE)

Data for crystalline Cu2PbSe at its relaxed geometry.

Results
Final energy (eV/atom): -3.787
Calculated volume (A^3/atom): 19.719

a b c (Å): 3.8691 3.8691 6.4730
angles (deg): 72.55 72.55 60.20
Positions (direct):
Pb  0.2500  0.2500  0.2500
Cu  0.4797  0.4797  0.5584
Se  0.7500  0.7500  0.7500
Cu  0.0203  0.0203  0.9416

Record 5
## Dy2Tm3Cd3 (PBE)

Data for crystalline Dy2Tm3Cd3 at its relaxed geometry.

Results
Calculated volume (A^3/atom): 26.874
Excess energy over the best structure of this formula in the dataset (eV per atom): 0.0000
Calculated formation energy (eV per atom): -0.228

a b c (Å): 3.7065 5.2716 11.4652
angles (deg): 103.29 99.30 90.00
Positions (direct):
Dy  0.2667  0.7667  0.5335
Tm  0.5000  0.0000  0.0000
Cd  0.0000  0.5000  0.0000
Dy  0.7333  0.2333  0.4665
Cd  0.8841  0.8841  0.7683
Cd  0.1159  0.1159  0.2317
Tm  0.3770  0.3770  0.7540
Tm  0.6230  0.6230  0.2460

Record 6
## MgSi (PBE)

Data for crystalline MgSi at its relaxed geometry.

Results
Final energy (eV/atom): -3.486
Calculated volume (A^3/atom): 19.159

a b c (Å): 5.3074 5.0318 8.7201
angles (deg): 88.69 81.23 87.49
Positions (direct):
Mg  0.4666  0.7405  0.1539
Si  0.4847  0.2323  0.2582
Si  0.0055  0.9388  0.0406
Si  0.2997  0.6990  0.8446
Mg  0.9469  0.9510  0.3838
Mg  0.0925  0.2239  0.7348
Mg  0.6179  0.4547  0.5347
Mg  0.5438  0.2375  0.9385
Si  0.8159  0.6980  0.8483
Si  0.6008  0.9496  0.6649
Mg  0.9761  0.4276  0.1567
Si  0.1497  0.4472  0.4408

Record 7
## Dy4Er3Tm (PBE)

Data for crystalline Dy4Er3Tm at its relaxed geometry.

Results
Calculated volume (A^3/atom): 31.144
Excess energy over the best structure of this formula in the dataset (eV per atom): 0.0000
Calculated formation energy (eV per atom): 0.002

a b c (Å): 6.2232 7.1979 11.1243
angles (deg): 90.00 90.00 90.00
Positions (direct):
Dy  0.6474  0.1259  0.0000
Er  0.4807  0.3761  0.7499
Er  0.9807  0.6239  0.7501
Dy  0.9813  0.1262  0.7502
Dy  0.1474  0.8741  0.5000
Dy  0.1480  0.8739  0.0000
Tm  0.6479  0.6239  0.5000
Dy  0.9813  0.1262  0.2498
Er  0.4807  0.3761  0.2501
Er  0.9807  0.6239  0.2499
Dy  0.6480  0.1261  0.5000
Tm  0.1479  0.3761  0.0000
Dy  0.4813  0.8738  0.2502
Dy  0.4813  0.8738  0.7498
Er  0.6478  0.6239  0.0000
Er  0.1478  0.3761  0.5000

Record 8
## Zn2AgPbF8 (PBE)

Data for crystalline Zn2AgPbF8 at its relaxed geometry.

Results
Final energy (eV/atom): -3.966
Calculated volume (A^3/atom): 16.386

a b c (Å): 6.3468 6.3468 6.3468
angles (deg): 108.48 108.48 111.48
Site moments in Bohr magnetons follow the coordinates.
Positions (direct):
Zn  0.7500  0.2500  0.5000  0.00
Zn  0.5000  0.5000  0.0000  0.01
F  0.3076  0.1223  0.8147  0.04
Ag  0.2500  0.7500  0.5000  0.30
Pb  0.0000  0.0000  0.0000  0.03
F  0.3786  0.0665  0.3121  0.01
F  0.9335  0.2456  0.3121  0.01
F  0.8777  0.6924  0.1853  0.04
F  0.7544  0.0665  0.6879  0.01
F  0.5071  0.6924  0.8147  0.04
F  0.9335  0.6214  0.6879  0.01
F  0.3076  0.4929  0.1853  0.04

no.,magnetization (μB/f.u.)
1,0.00
2,2.18
3,4.14
4,0.00
5,0.00
6,0.00
7,0.00
8,0.55